# 1
DFT (PBE) results for crystalline BaMg4AgPb2 at its relaxed geometry.

## Properties
The value obtained for the raw total energy is -0.1822 Ry/atom.

abc: 10.3069 10.3069 10.3069
angles: 28.57 28.57 28.57
Sites, in units of the cell vectors:
Ba (0.0000, 0.0000, 0.0000)
Mg (0.1388, 0.1388, 0.1388)
Mg (0.4086, 0.4086, 0.4086)
Mg (0.5914, 0.5914, 0.5914)
Mg (0.8612, 0.8612, 0.8612)
Ag (0.5000, 0.5000, 0.5000)
Pb (0.2499, 0.2499, 0.2499)
Pb (0.7501, 0.7501, 0.7501)

# 2
DFT (PBE) results for crystalline TiGa2Pt at its relaxed geometry.

## Properties
The value obtained for the raw total energy is -0.4043 Ry/atom.

abc: 2.9415 3.7909 5.6629
angles: 90.00 90.00 90.00
Sites, in units of the cell vectors:
Ti (0.0000, 0.0000, 0.0000)
Ga (0.0000, 0.0000, 0.5009)
Ga (0.5000, 0.5000, 0.7545)
Pt (0.5000, 0.5000, 0.2481)

# 3
DFT (PBE) results for crystalline CrCo2BIr at its relaxed geometry.

## Properties
The value obtained for the raw total energy is -0.4814 Ry/atom.

abc: 4.0592 4.0592 3.8482
angles: 90.00 90.00 90.00
Sites, in units of the cell vectors:
Cr (0.0000, 0.0000, 0.0000)
Co (0.0000, 0.5000, 0.0000)
Co (0.5000, 0.0000, 0.0000)
B (0.0000, 0.0000, 0.5000)
Ir (0.5000, 0.5000, 0.5000)

# 4
DFT (PBE) results for crystalline K3Y2PaS6 at its relaxed geometry.

## Properties
The value obtained for the raw total energy is -0.4365 Ry/atom.

abc: 7.0073 7.0073 7.7625
angles: 98.65 98.65 120.00
Sites, in units of the cell vectors:
K (0.0000, 0.0000, 0.0000)
K (0.3318, 0.6682, 0.0000)
K (0.6682, 0.3318, 0.0000)
Y (0.1665, 0.8335, 0.5000)
Y (0.8335, 0.1665, 0.5000)
Pa (0.5000, 0.5000, 0.5000)
S (0.1014, 0.4319, 0.2956)
S (0.2378, 0.2378, 0.7046)
S (0.4319, 0.1014, 0.2956)
S (0.5681, 0.8986, 0.7044)
S (0.7622, 0.7622, 0.2954)
S (0.8986, 0.5681, 0.7044)

# 5
DFT (PBE) results for crystalline ZrAs2Rh at its relaxed geometry.

## Properties
The value obtained for the raw total energy is -0.4946 Ry/atom.

abc: 4.2853 4.2960 8.4384
angles: 90.00 90.00 90.00
Sites, in units of the cell vectors:
Zr (0.0000, 0.0000, 0.0000)
Zr (0.5000, 0.5000, 0.0000)
As (0.0000, 0.0000, 0.4053)
As (0.0000, 0.5000, 0.7610)
As (0.5000, 0.0000, 0.7610)
As (0.5000, 0.5000, 0.4053)
Rh (0.0000, 0.5000, 0.2385)
Rh (0.5000, 0.0000, 0.2385)

# 6
DFT (PBE) results for crystalline NpAgHg2 at its relaxed geometry.

## Properties
The value obtained for the raw total energy is -0.2889 Ry/atom.

abc: 3.0662 3.0662 31.6940
angles: 90.00 90.00 120.00
Sites, in units of the cell vectors:
Np (0.0000, 0.0000, 0.0000)
Np (0.3333, 0.6667, 0.6667)
Np (0.6667, 0.3333, 0.3333)
Ag (0.0000, 0.0000, 0.5000)
Ag (0.3333, 0.6667, 0.1667)
Ag (0.6667, 0.3333, 0.8333)
Hg (0.0000, 0.0000, 0.2450)
Hg (0.0000, 0.0000, 0.7550)
Hg (0.3333, 0.6667, 0.4217)
Hg (0.3333, 0.6667, 0.9117)
Hg (0.6667, 0.3333, 0.0883)
Hg (0.6667, 0.3333, 0.5783)

# 7
DFT (PBE) results for crystalline CePuP2O8 at its relaxed geometry.

## Properties
The value obtained for the raw total energy is -0.6323 Ry/atom.

abc: 5.3466 5.3466 7.3046
angles: 90.00 90.00 120.00
Sites, in units of the cell vectors:
Ce (0.0000, 0.0000, 0.0000)
Pu (0.0000, 0.0000, 0.5000)
P (0.3333, 0.6667, 0.3053)
P (0.6667, 0.3333, 0.6947)
O (0.1756, 0.3512, 0.2298)
O (0.1756, 0.8244, 0.2298)
O (0.3333, 0.6667, 0.5136)
O (0.3512, 0.1756, 0.7702)
O (0.6488, 0.8244, 0.2298)
O (0.6667, 0.3333, 0.4864)
O (0.8244, 0.1756, 0.7702)
O (0.8244, 0.6488, 0.7702)

# 8
DFT (PBE) results for crystalline Sm2MnAs4Pd3 at its relaxed geometry.

## Properties
The value obtained for the raw total energy is -0.4445 Ry/atom.

abc: 4.1983 4.1983 10.9255
angles: 90.00 90.00 90.00
Sites, in units of the cell vectors:
Sm (0.0000, 0.5000, 0.2440)
Sm (0.5000, 0.0000, 0.7560)
Mn (0.5000, 0.5000, 0.0000)
As (0.0000, 0.0000, 0.5000)
As (0.0000, 0.5000, 0.8651)
As (0.5000, 0.0000, 0.1349)
As (0.5000, 0.5000, 0.5000)
Pd (0.0000, 0.0000, 0.0000)
Pd (0.0000, 0.5000, 0.6401)
Pd (0.5000, 0.0000, 0.3599)

# 9
DFT (PBE) results for crystalline Sm3ThP4 at its relaxed geometry.

## Properties
The value obtained for the offset from the most stable computed form is 14 meV per atom. The value obtained for the raw total energy is -0.5132 Ry/atom.

abc: 5.8253 5.8253 5.8253
angles: 90.00 90.00 90.00
Sites, in units of the cell vectors:
Sm (0.0000, 0.0000, 0.5000)
Sm (0.0000, 0.5000, 0.0000)
Sm (0.5000, 0.0000, 0.0000)
Th (0.5000, 0.5000, 0.5000)
P (0.0000, 0.0000, 0.0000)
P (0.0000, 0.5000, 0.5000)
P (0.5000, 0.0000, 0.5000)
P (0.5000, 0.5000, 0.0000)

# 10
DFT (PBE) results for crystalline Mg3Os at its relaxed geometry.

## Properties
The value obtained for the raw total energy is -0.2784 Ry/atom.

abc: 2.9635 2.9635 9.5628
angles: 90.00 90.00 120.00
Sites, in units of the cell vectors:
Mg (0.0000, 0.0000, 0.0000)
Mg (0.3333, 0.6667, 0.2758)
Mg (0.3333, 0.6667, 0.7242)
Os (0.0000, 0.0000, 0.5000)

# 11
DFT (PBE) results for crystalline DyTl2P2Pt7 at its relaxed geometry.

## Properties
The value obtained for the raw total energy is -0.4243 Ry/atom.

abc: 3.9908 3.9908 15.2766
angles: 97.46 97.46 90.00
Sites, in units of the cell vectors:
Dy (0.0000, 0.0000, 0.0000)
Tl (0.2094, 0.2094, 0.4213)
Tl (0.7906, 0.7906, 0.5787)
P (0.3844, 0.3844, 0.7674)
P (0.6156, 0.6156, 0.2326)
Pt (0.0729, 0.5729, 0.1463)
Pt (0.3104, 0.3104, 0.6179)
Pt (0.4271, 0.9271, 0.8537)
Pt (0.5000, 0.5000, 0.0000)
Pt (0.5729, 0.0729, 0.1463)
Pt (0.6896, 0.6896, 0.3821)
Pt (0.9271, 0.4271, 0.8537)

# 12
DFT (PBE) results for crystalline OsPtSe2 at its relaxed geometry.

## Properties
The value obtained for the offset from the most stable computed form is 455 meV per atom. The value obtained for the raw total energy is -0.3998 Ry/atom.

abc: 6.3460 6.4244 3.2087
angles: 90.00 90.00 90.00
Sites, in units of the cell vectors:
Os (0.0000, 0.0000, 0.0000)
Os (0.5000, 0.5000, 0.0000)
Pt (0.0000, 0.5000, 0.0000)
Pt (0.5000, 0.0000, 0.0000)
Se (0.2500, 0.2500, 0.5000)
Se (0.2500, 0.7500, 0.5000)
Se (0.7500, 0.2500, 0.5000)
Se (0.7500, 0.7500, 0.5000)